Record 1
Compound: IrAuBr2
Source: Alexandria
Functional: meta-GGA SCAN
Structure: single point on PBEsol structure

abc: 4.8310 4.8310 3.1770
angles: 90.00 90.00 98.37
With the nearest neighbours (Å) after each atom.
Fractional coordinates of all 4 atoms:
Ir  0.0000  0.0000  0.0000  8 Br 2.89, 2 Au 3.16, 2 Ir 3.18
Au  0.5000  0.5000  0.0000  8 Br 2.89, 2 Ir 3.16, 2 Au 3.18
Br  0.0000  0.5000  0.5000  4 Ir 2.89, 4 Au 2.89, 4 Br 3.16-3.18
Br  0.5000  0.0000  0.5000  4 Ir 2.89, 4 Au 2.89, 4 Br 3.16-3.18

Computed properties:
raw formation energy	1.191	eV/atom
energy relative to the lowest polymorph listed for this composition	83.2	kJ/mol of atoms

=====

Record 2
Compound: Tl2Hg
Source: Alexandria
Functional: meta-GGA SCAN
Structure: single point on PBEsol structure

abc: 5.2378 5.2378 3.3844
angles: 90.00 90.00 120.00
With the nearest neighbours (Å) after each atom.
Fractional coordinates of all 3 atoms:
Tl  0.3333  0.6667  0.2741  3 Hg 3.16, 5 Tl 3.38-3.39
Tl  0.6667  0.3333  0.7259  3 Hg 3.16, 5 Tl 3.38-3.39
Hg  0.0000  0.0000  0.0000  6 Tl 3.16, 2 Hg 3.38

Computed properties:
energy of formation from the pure elements	0.000	eV/atom
energy relative to the lowest polymorph listed for this composition	1.0	kJ/mol of atoms

=====

Record 3
Compound: Cd2In
Source: Alexandria
Functional: meta-GGA SCAN
Structure: single point on PBEsol structure

abc: 5.3292 5.3292 5.3292
angles: 143.79 131.22 62.23
With the nearest neighbours (Å) after each atom.
Fractional coordinates of all 3 atoms:
Cd  0.1674  0.1674  0.0000  5 In 3.04-3.15, 7 Cd 3.05-3.31
Cd  0.8326  0.8326  0.0000  5 In 3.04-3.15, 7 Cd 3.05-3.31
In  0.5000  0.5000  0.0000  10 Cd 3.04-3.15, 2 In 3.31

Computed properties:
energy of formation from the pure elements	0.050	eV/atom

=====

Record 4
Compound: Zr2InNi
Source: Alexandria
Functional: meta-GGA SCAN
Structure: single point on PBEsol structure

abc: 4.1422 5.7553 5.7553
angles: 34.07 90.00 90.00
With the nearest neighbours (Å) after each atom.
Fractional coordinates of all 4 atoms:
Zr  0.0000  0.0000  0.0000  4 Ni 2.79, 3 In 2.98-3.05
Zr  0.5000  0.3332  0.3332  1 Ni 2.63, 4 In 2.93
In  0.0000  0.7233  0.7233  2 Ni 2.66, 4 Zr 2.93
Ni  0.5000  0.5720  0.5720  5 Zr 2.63-2.79, 2 In 2.66

Computed properties:
energy of formation from the pure elements	-0.291	eV/atom

=====

Record 5
Compound: FeTcTe2
Source: Alexandria
Functional: meta-GGA SCAN
Structure: single point on PBEsol structure

abc: 5.4739 5.4739 5.4739
angles: 138.64 138.64 59.93
With the nearest neighbours (Å) after each atom.
Fractional coordinates of all 4 atoms:
Fe  0.0000  0.0000  0.0000  8 Te 2.73-3.06, 4 Tc 3.06
Tc  0.7500  0.2500  0.5000  8 Te 2.73-3.06, 4 Fe 3.06
Te  0.2500  0.7500  0.5000  4 Tc 2.73, 4 Fe 3.06, 4 Te 3.06
Te  0.5000  0.5000  0.0000  4 Fe 2.73, 4 Tc 3.06, 4 Te 3.06

Computed properties:
raw formation energy	0.707	eV/atom

=====

Record 6
Compound: Co2ReNi
Source: Alexandria
Functional: meta-GGA SCAN
Structure: single point on PBEsol structure

abc: 4.3570 2.5404 4.4035
angles: 90.00 110.60 90.00
With the nearest neighbours (Å) after each atom.
Fractional coordinates of all 4 atoms:
Co  0.0000  0.0000  0.0000  2 Re 2.49, 4 Ni 2.52, 6 Co 2.54
Co  0.0000  0.5000  0.5000  2 Ni 2.49, 4 Re 2.52, 6 Co 2.54
Re  0.5000  0.0000  0.5000  6 Co 2.49-2.52, 2 Re 2.54, 4 Ni 2.54
Ni  0.5000  0.5000  0.0000  6 Co 2.49-2.52, 2 Ni 2.54, 4 Re 2.54

Computed properties:
energy of formation from the pure elements	0.159	eV/atom
energy relative to the lowest polymorph listed for this composition	1.8	kJ/mol of atoms

=====

Record 7
Compound: Rh2C
Source: Alexandria
Functional: meta-GGA SCAN
Structure: single point on PBEsol structure

abc: 5.3774 5.3774 4.8023
angles: 90.00 90.00 149.22
With the nearest neighbours (Å) after each atom.
Fractional coordinates of all 6 atoms:
Rh  0.0562  0.9438  0.7500  2 C 2.00
Rh  0.2045  0.7955  0.2500  2 C 1.93
Rh  0.7955  0.2045  0.7500  2 C 1.93
Rh  0.9438  0.0562  0.2500  2 C 2.00
C  0.4214  0.5786  0.7500  4 Rh 1.93-2.00
C  0.5786  0.4214  0.2500  4 Rh 1.93-2.00

Computed properties:
energy of formation from the pure elements	0.501	eV/atom
energy relative to the lowest polymorph listed for this composition	34.9	kJ/mol of atoms

=====

Record 8
Compound: ZrScBi3
Source: Alexandria
Functional: meta-GGA SCAN
Structure: single point on PBEsol structure

abc: 5.5538 5.5538 5.5538
angles: 90.00 90.00 90.00
With the nearest neighbours (Å) after each atom.
Fractional coordinates of all 5 atoms:
Zr  0.0000  0.0000  0.0000  6 Bi 2.78
Sc  0.5000  0.5000  0.5000  12 Bi 3.93
Bi  0.0000  0.0000  0.5000  2 Zr 2.78
Bi  0.0000  0.5000  0.0000  2 Zr 2.78
Bi  0.5000  0.0000  0.0000  2 Zr 2.78

Computed properties:
energy of formation from the pure elements	0.359	eV/atom

=====

| no. | total moment (Bohr magnetons per cell) |
| --- | --- |
| 1 | 0.00 |
| 2 | 0.00 |
| 3 | 0.00 |
| 4 | 0.62 |
| 5 | 2.08 |
| 6 | 3.70 |
| 7 | 0.00 |
| 8 | 0.00 |